## Ca2TcAu (PBE)

Data for crystalline Ca2TcAu at its relaxed geometry.

- SG = Cm (8)
- formation enthalpy at 0 K (kJ/mol of atoms) = 11.0

Geometry as POSCAR:
```
Ca2TcAu
1.0
-3.157 3.921 -3.013
-5.238 1.903 -1.834
-1.701 3.768 3.448
Ca Au Tc
2 1 1
Direct
0.973 0.973 0.067
0.774 0.774 0.685
0.220 0.220 0.209
0.532 0.532 0.540
```



## CaTc2Au (PBE)

Data for crystalline CaTc2Au at its relaxed geometry.

- SG = Cmmm (65)
- formation enthalpy at 0 K (kJ/mol of atoms) = 47.9

Geometry as POSCAR:
```
CaTc2Au
1.0
-0.103 -4.881 2.460
-0.930 0.205 -5.383
2.596 -0.286 -0.460
Ca Au Tc
1 1 2
Direct
0.000 0.500 0.500
0.500 0.000 0.500
0.000 0.000 0.000
0.500 0.500 0.000
```



## CaTc2Au (PBE)

Data for crystalline CaTc2Au at its relaxed geometry.

- SG = Imm2 (44)
- formation enthalpy at 0 K (kJ/mol of atoms) = 29.4

Geometry as POSCAR:
```
CaTc2Au
1.0
-0.055 4.987 1.088
-4.142 1.926 -2.278
0.910 -3.695 3.402
Ca Au Tc
1 1 2
Direct
0.234 0.734 0.500
0.507 0.507 0.000
0.968 0.968 0.000
0.790 0.290 0.500
```



| no. | energy above the most stable polymorph in this dataset (eV per atom) |
| --- | --- |
| 1 | 0.028 |
| 2 | 0.442 |
| 3 | 0.250 |